1.
Below is crystalline Mg4PdPt12 at its relaxed geometry, with properties calculated at the GGA-PBE level.

density of states at the Fermi level	21.9	states/eV per cell
ΔH_f (0 K)	-0.27	eV/atom
SG	Im-3m, No. 229
E	-5.22	eV per atom

Geometry as CIF:
```
data_Mg4PdPt12
_chemical_formula_sum 'Mg4 Pd1 Pt12'
_cell_length_a 7.235
_cell_length_b 7.235
_cell_length_c 7.235
_cell_angle_alpha 109.47
_cell_angle_beta 109.47
_cell_angle_gamma 109.47
_space_group_name_H-M_alt 'P 1'
_space_group_IT_number 1
loop_
_space_group_symop_operation_xyz
'x,y,z'
loop_
_atom_site_label
_atom_site_type_symbol
_atom_site_fract_x
_atom_site_fract_y
_atom_site_fract_z
Mg1 Mg 0.000 0.000 0.500
Mg2 Mg 0.500 0.000 0.000
Mg3 Mg 0.500 0.500 0.500
Mg4 Mg 0.000 0.500 0.000
Pd1 Pd 0.000 0.000 0.000
Pt1 Pt 0.000 0.300 0.300
Pt2 Pt 0.000 0.700 0.700
Pt3 Pt 0.700 0.700 0.000
Pt4 Pt 0.300 0.300 0.000
Pt5 Pt 0.300 0.000 0.300
Pt6 Pt 0.700 0.000 0.700
Pt7 Pt 0.500 0.250 0.750
Pt8 Pt 0.500 0.750 0.250
Pt9 Pt 0.750 0.250 0.500
Pt10 Pt 0.250 0.750 0.500
Pt11 Pt 0.750 0.500 0.250
Pt12 Pt 0.250 0.500 0.750
```

2.
Below is crystalline Mg2PdPt2 at its relaxed geometry, with properties calculated at the GGA-PBE level.

density of states at the Fermi level	4.4	states/eV per cell
energy above the most stable polymorph in this dataset	0	meV/atom
ΔH_f (0 K)	-0.58	eV/atom
SG	P4/mbm, No. 127
E	-4.67	eV per atom

Geometry as CIF:
```
data_Mg2PdPt2
_chemical_formula_sum 'Mg4 Pd2 Pt4'
_cell_length_a 7.461
_cell_length_b 7.461
_cell_length_c 2.995
_cell_angle_alpha 90.00
_cell_angle_beta 90.00
_cell_angle_gamma 90.00
_space_group_name_H-M_alt 'P 1'
_space_group_IT_number 1
loop_
_space_group_symop_operation_xyz
'x,y,z'
loop_
_atom_site_label
_atom_site_type_symbol
_atom_site_fract_x
_atom_site_fract_y
_atom_site_fract_z
Mg1 Mg 0.165 0.665 0.500
Mg2 Mg 0.665 0.835 0.500
Mg3 Mg 0.835 0.335 0.500
Mg4 Mg 0.335 0.165 0.500
Pd1 Pd 0.000 0.000 0.000
Pd2 Pd 0.500 0.500 0.000
Pt1 Pt 0.366 0.866 0.000
Pt2 Pt 0.866 0.634 0.000
Pt3 Pt 0.634 0.134 0.000
Pt4 Pt 0.134 0.366 0.000
```

3.
Below is crystalline Mg8Pd2Pt at its relaxed geometry, with properties calculated at the GGA-PBE level.

density of states at the Fermi level	4.1	states/eV per cell
ΔH_f (0 K)	-0.49	eV/atom
SG	Immm, No. 71
E	-3.15	eV per atom

Geometry as CIF:
```
data_Mg8Pd2Pt
_chemical_formula_sum 'Mg8 Pd2 Pt1'
_cell_length_a 4.396
_cell_length_b 7.325
_cell_length_c 7.655
_cell_angle_alpha 118.58
_cell_angle_beta 106.69
_cell_angle_gamma 90.00
_space_group_name_H-M_alt 'P 1'
_space_group_IT_number 1
loop_
_space_group_symop_operation_xyz
'x,y,z'
loop_
_atom_site_label
_atom_site_type_symbol
_atom_site_fract_x
_atom_site_fract_y
_atom_site_fract_z
Mg1 Mg 0.655 0.876 0.311
Mg2 Mg 0.345 0.565 0.689
Mg3 Mg 0.144 0.144 0.289
Mg4 Mg 0.000 0.305 0.000
Mg5 Mg 0.856 0.856 0.711
Mg6 Mg 0.655 0.435 0.311
Mg7 Mg 0.345 0.124 0.689
Mg8 Mg 0.000 0.695 0.000
Pd1 Pd 0.192 0.692 0.385
Pd2 Pd 0.808 0.308 0.615
Pt1 Pt 0.500 0.000 0.000
```

4.
Below is crystalline Mg5PdPt6 at its relaxed geometry, with properties calculated at the GGA-PBE level.

density of states at the Fermi level	4.1	states/eV per cell
ΔH_f (0 K)	-0.77	eV/atom
SG	Immm, No. 71
E	-4.89	eV per atom

Geometry as CIF:
```
data_Mg5PdPt6
_chemical_formula_sum 'Mg5 Pd1 Pt6'
_cell_length_a 4.111
_cell_length_b 7.497
_cell_length_c 7.497
_cell_angle_alpha 110.75
_cell_angle_beta 105.91
_cell_angle_gamma 105.91
_space_group_name_H-M_alt 'P 1'
_space_group_IT_number 1
loop_
_space_group_symop_operation_xyz
'x,y,z'
loop_
_atom_site_label
_atom_site_type_symbol
_atom_site_fract_x
_atom_site_fract_y
_atom_site_fract_z
Mg1 Mg 0.500 0.153 0.847
Mg2 Mg 0.000 0.328 0.672
Mg3 Mg 0.500 0.500 0.500
Mg4 Mg 0.000 0.672 0.328
Mg5 Mg 0.500 0.847 0.153
Pt1 Pt 0.257 0.090 0.425
Pt2 Pt 0.743 0.575 0.910
Pt3 Pt 0.765 0.265 0.265
Pt4 Pt 0.235 0.735 0.735
Pt5 Pt 0.257 0.425 0.090
Pt6 Pt 0.743 0.910 0.575
Pd1 Pd 0.000 0.000 0.000
```

5.
Below is crystalline MgPd5Pt at its relaxed geometry, with properties calculated at the GGA-PBE level.

density of states at the Fermi level	9.0	states/eV per cell
energy above the most stable polymorph in this dataset	76	meV/atom
ΔH_f (0 K)	-0.04	eV/atom
SG	Imm2, No. 44
E	-4.84	eV per atom

Geometry as CIF:
```
data_MgPd5Pt
_chemical_formula_sum 'Mg1 Pd5 Pt1'
_cell_length_a 9.234
_cell_length_b 5.113
_cell_length_c 5.851
_cell_angle_alpha 115.90
_cell_angle_beta 142.10
_cell_angle_gamma 90.00
_space_group_name_H-M_alt 'P 1'
_space_group_IT_number 1
loop_
_space_group_symop_operation_xyz
'x,y,z'
loop_
_atom_site_label
_atom_site_type_symbol
_atom_site_fract_x
_atom_site_fract_y
_atom_site_fract_z
Mg1 Mg 0.438 0.000 0.000
Pd1 Pd 0.038 0.246 0.491
Pd2 Pd 0.818 0.500 0.000
Pd3 Pd 0.546 0.754 0.509
Pd4 Pd 0.073 0.245 0.000
Pd5 Pd 0.073 0.755 0.000
Pt1 Pt 0.544 0.500 0.000
```

6.
Below is crystalline Mg6PdPt at its relaxed geometry, with properties calculated at the GGA-PBE level.

density of states at the Fermi level	2.7	states/eV per cell
energy above the most stable polymorph in this dataset	180	meV/atom
ΔH_f (0 K)	-0.26	eV/atom
SG	C2/m, No. 12
E	-2.86	eV per atom

Geometry as CIF:
```
data_Mg6PdPt
_chemical_formula_sum 'Mg6 Pd1 Pt1'
_cell_length_a 6.200
_cell_length_b 6.010
_cell_length_c 5.927
_cell_angle_alpha 59.54
_cell_angle_beta 78.64
_cell_angle_gamma 67.13
_space_group_name_H-M_alt 'P 1'
_space_group_IT_number 1
loop_
_space_group_symop_operation_xyz
'x,y,z'
loop_
_atom_site_label
_atom_site_type_symbol
_atom_site_fract_x
_atom_site_fract_y
_atom_site_fract_z
Mg1 Mg 0.752 0.448 0.610
Mg2 Mg 0.752 0.059 0.390
Mg3 Mg 0.248 0.941 0.610
Mg4 Mg 0.248 0.552 0.390
Mg5 Mg 0.749 0.751 0.000
Mg6 Mg 0.251 0.249 0.000
Pd1 Pd 0.000 0.000 0.000
Pt1 Pt 0.500 0.500 0.000
```

7.
Below is crystalline Mg2Pd5Pt2 at its relaxed geometry, with properties calculated at the GGA-PBE level.

density of states at the Fermi level	10.9	states/eV per cell
energy above the most stable polymorph in this dataset	89	meV/atom
ΔH_f (0 K)	-0.25	eV/atom
SG	P-1, No. 2
E	-4.83	eV per atom

Geometry as CIF:
```
data_Mg2Pd5Pt2
_chemical_formula_sum 'Mg2 Pd5 Pt2'
_cell_length_a 4.795
_cell_length_b 4.764
_cell_length_c 7.368
_cell_angle_alpha 96.27
_cell_angle_beta 108.75
_cell_angle_gamma 71.17
_space_group_name_H-M_alt 'P 1'
_space_group_IT_number 1
loop_
_space_group_symop_operation_xyz
'x,y,z'
loop_
_atom_site_label
_atom_site_type_symbol
_atom_site_fract_x
_atom_site_fract_y
_atom_site_fract_z
Mg1 Mg 0.807 0.000 0.614
Mg2 Mg 0.193 0.000 0.386
Pd1 Pd 0.600 0.997 0.199
Pd2 Pd 0.400 0.003 0.801
Pd3 Pd 0.900 0.501 0.804
Pd4 Pd 0.100 0.499 0.196
Pd5 Pd 0.000 0.000 0.000
Pt1 Pt 0.702 0.499 0.402
Pt2 Pt 0.298 0.501 0.598
```

8.
Below is crystalline MgPd6Pt3 at its relaxed geometry, with properties calculated at the GGA-PBE level.

density of states at the Fermi level	34.1	states/eV per cell
energy above the most stable polymorph in this dataset	0	meV/atom
ΔH_f (0 K)	-0.20	eV/atom
SG	P2_1/m, No. 11
E	-5.29	eV per atom

Geometry as CIF:
```
data_MgPd6Pt3
_chemical_formula_sum 'Mg2 Pd12 Pt6'
_cell_length_a 3.972
_cell_length_b 8.823
_cell_length_c 8.832
_cell_angle_alpha 90.21
_cell_angle_beta 90.00
_cell_angle_gamma 90.00
_space_group_name_H-M_alt 'P 1'
_space_group_IT_number 1
loop_
_space_group_symop_operation_xyz
'x,y,z'
loop_
_atom_site_label
_atom_site_type_symbol
_atom_site_fract_x
_atom_site_fract_y
_atom_site_fract_z
Mg1 Mg 0.250 0.943 0.612
Mg2 Mg 0.750 0.057 0.388
Pd1 Pd 0.250 0.450 0.100
Pd2 Pd 0.750 0.550 0.900
Pd3 Pd 0.250 0.153 0.199
Pd4 Pd 0.750 0.847 0.801
Pd5 Pd 0.250 0.650 0.698
Pd6 Pd 0.750 0.350 0.302
Pd7 Pd 0.250 0.242 0.501
Pd8 Pd 0.750 0.758 0.499
Pd9 Pd 0.250 0.857 0.307
Pd10 Pd 0.750 0.143 0.693
Pd11 Pd 0.250 0.049 0.899
Pd12 Pd 0.750 0.951 0.101
Pt1 Pt 0.250 0.551 0.399
Pt2 Pt 0.750 0.449 0.601
Pt3 Pt 0.250 0.347 0.800
Pt4 Pt 0.750 0.653 0.200
Pt5 Pt 0.250 0.750 0.003
Pt6 Pt 0.750 0.250 0.997
```

What did the fifth record say?
Below is crystalline MgPd5Pt at its relaxed geometry, with properties calculated at the GGA-PBE level.

density of states at the Fermi level	9.0	states/eV per cell
energy above the most stable polymorph in this dataset	76	meV/atom
ΔH_f (0 K)	-0.04	eV/atom
SG	Imm2, No. 44
E	-4.84	eV per atom

Geometry as CIF:
```
data_MgPd5Pt
_chemical_formula_sum 'Mg1 Pd5 Pt1'
_cell_length_a 9.234
_cell_length_b 5.113
_cell_length_c 5.851
_cell_angle_alpha 115.90
_cell_angle_beta 142.10
_cell_angle_gamma 90.00
_space_group_name_H-M_alt 'P 1'
_space_group_IT_number 1
loop_
_space_group_symop_operation_xyz
'x,y,z'
loop_
_atom_site_label
_atom_site_type_symbol
_atom_site_fract_x
_atom_site_fract_y
_atom_site_fract_z
Mg1 Mg 0.438 0.000 0.000
Pd1 Pd 0.038 0.246 0.491
Pd2 Pd 0.818 0.500 0.000
Pd3 Pd 0.546 0.754 0.509
Pd4 Pd 0.073 0.245 0.000
Pd5 Pd 0.073 0.755 0.000
Pt1 Pt 0.544 0.500 0.000
```